#a
Compound: RbTiPO2
Source: Alexandria
Functional: PBE
Structure: optimized geometry

```
RbTiPO2
1.0
-0.312 -3.626 -1.828
2.869 1.100 -2.673
4.478 -2.325 3.850
P O Rb Ti
1 2 1 1
Direct
0.000 0.000 0.500 P
0.000 0.500 0.000 O
0.500 0.000 0.000 O
0.000 0.000 0.000 Rb
0.500 0.500 0.500 Ti
```

#b
Compound: RbTiPO2
Source: Alexandria
Functional: PBE
Structure: optimized geometry

```
RbTiPO2
1.0
-0.536 -3.943 -0.665
1.563 0.411 -3.696
4.587 -0.933 1.836
Ti Rb P O
1 1 1 2
Direct
0.000 0.000 0.000 Ti
0.500 0.500 0.500 Rb
0.000 0.000 0.500 P
0.000 0.500 0.000 O
0.500 0.000 0.000 O
```

Stability comparison, relative energies in kJ/mol of atoms: #a 212.2; #b 0.0

#a
Compound: RbTiP2O
Source: Alexandria
Functional: PBE
Structure: optimized geometry

```
RbTiP2O
1.0
4.555 0.000 0.000
0.000 10.341 0.000
0.000 0.000 4.555
P O Ti Rb
2 1 1 1
Direct
0.500 0.000 0.000 P
0.000 0.000 0.500 P
0.500 0.500 0.500 O
0.000 0.000 0.000 Ti
0.000 0.500 0.000 Rb
```

#b
Compound: RbTiP2O
Source: Alexandria
Functional: PBE
Structure: optimized geometry

```
RbTiP2O
1.0
-2.108 -4.257 1.929
0.917 -2.452 -4.408
3.713 -1.189 1.434
P O Rb Ti
2 1 1 1
Direct
0.000 0.500 0.000 P
0.500 0.000 0.000 P
0.000 0.000 0.500 O
0.000 0.000 0.000 Rb
0.500 0.500 0.500 Ti
```

#c
Compound: RbTiP2O
Source: Alexandria
Functional: PBE
Structure: optimized geometry

```
RbTiP2O
1.0
5.297 0.000 0.000
0.000 5.297 0.000
0.000 0.000 3.725
P O Ti Rb
2 1 1 1
Direct
0.000 0.500 0.000 P
0.500 0.000 0.000 P
0.000 0.000 0.500 O
0.000 0.000 0.000 Ti
0.500 0.500 0.500 Rb
```

Stability comparison, relative energies in kJ/mol of atoms: #a 80.6; #b 205.0; #c 0.0